No. 1
The following is a PBE-GGA calculation of a geometry-optimized V3Pt2 structure, from Alexandria via LeMat-Bulk.

Unit cell a=2.8469 b=9.2108 c=11.0879 alpha=90.00 beta=90.00 gamma=90.00
Fractional coordinates of all 20 atoms:
1 Pt 0.7500 0.6899 0.1208
2 Pt 0.2500 0.4798 0.2770
3 Pt 0.7500 0.8101 0.6208
4 Pt 0.2500 0.0202 0.7770
5 Pt 0.2500 0.3101 0.8792
6 Pt 0.7500 0.5202 0.7230
7 Pt 0.7500 0.9798 0.2230
8 Pt 0.2500 0.1899 0.3792
9 V 0.2500 0.2122 0.1499
10 V 0.2500 0.2878 0.6499
11 V 0.7500 0.7878 0.8501
12 V 0.2500 0.9099 0.4346
13 V 0.7500 0.1033 0.9645
14 V 0.2500 0.6033 0.5355
15 V 0.2500 0.5901 0.9346
16 V 0.2500 0.8967 0.0355
17 V 0.7500 0.0901 0.5654
18 V 0.7500 0.3967 0.4645
19 V 0.7500 0.7122 0.3501
20 V 0.7500 0.4099 0.0654

Values from the calculation:
Raw total energy in eV/atom: -8.2016
E_form in eV/atom: -0.3142

=====

No. 2
The following is a PBE-GGA calculation of a geometry-optimized V7Pt structure, from Alexandria via LeMat-Bulk.

Unit cell a=4.2507 b=4.2507 c=6.7232 alpha=108.43 beta=108.43 gamma=90.00
Fractional coordinates of all 8 atoms:
1 V 0.6294 0.1294 0.2588
2 V 0.3706 0.8706 0.7412
3 V 0.8706 0.3706 0.7412
4 V 0.5000 0.5000 0.0000
5 V 0.7461 0.7461 0.4921
6 V 0.1294 0.6294 0.2588
7 V 0.2539 0.2539 0.5079
8 Pt 0.0000 0.0000 0.0000

Values from the calculation:
Raw total energy in eV/atom: -8.9723
E_form in eV/atom: -0.2385

=====

No. 3
The following is a PBE-GGA calculation of a geometry-optimized VPt3 structure, from Alexandria via LeMat-Bulk.

Unit cell a=4.8239 b=4.8239 c=4.8239 alpha=132.44 beta=132.44 gamma=69.53
Last column: magnetic moment on the atom in μB.
Fractional coordinates of all 4 atoms:
1 Pt 0.5000 0.5000 0.0000  -0.04
2 Pt 0.2500 0.7500 0.5000  -0.04
3 Pt 0.7500 0.2500 0.5000  -0.04
4 V 0.0000 0.0000 0.0000  0.72

Values from the calculation:
Raw total energy in eV/atom: -7.2801
E_form in eV/atom: -0.4698

=====

No. 4
The following is a PBE-GGA calculation of a geometry-optimized VPt7 structure, from Alexandria via LeMat-Bulk.

Unit cell a=3.9447 b=3.9447 c=8.3636 alpha=103.64 beta=103.64 gamma=90.00
Last column: magnetic moment on the atom in μB.
Fractional coordinates of all 8 atoms:
1 Pt 0.7467 0.7467 0.4935  0.01
2 Pt 0.1192 0.6192 0.2383  -0.01
3 Pt 0.8808 0.3808 0.7617  -0.01
4 Pt 0.5000 0.5000 0.0000  -0.01
5 Pt 0.6192 0.1192 0.2383  -0.01
6 Pt 0.3808 0.8808 0.7617  -0.01
7 Pt 0.2533 0.2533 0.5065  0.01
8 V 0.0000 0.0000 0.0000  0.71

Values from the calculation:
Raw total energy in eV/atom: -6.6969
E_form in eV/atom: -0.2714

=====

No. 5
The following is a PBE-GGA calculation of a geometry-optimized VPt8W2 structure, from Alexandria via LeMat-Bulk.

Unit cell a=3.9349 b=6.2695 c=7.3987 alpha=105.14 beta=105.42 gamma=90.00
Fractional coordinates of all 11 atoms:
1 W 0.2227 0.6341 0.4454
2 W 0.7773 0.3659 0.5546
3 Pt 0.1368 0.1879 0.2736
4 Pt 0.5954 0.4462 0.1909
5 Pt 0.8632 0.8121 0.7264
6 Pt 0.3188 0.0839 0.6377
7 Pt 0.0465 0.7363 0.0930
8 Pt 0.4046 0.5538 0.8091
9 Pt 0.6812 0.9161 0.3623
10 Pt 0.9535 0.2637 0.9070
11 V 0.5000 0.0000 0.0000

Values from the calculation:
Raw total energy in eV/atom: -7.9068
E_form in eV/atom: -0.3294

=====

No. 6
The following is a PBE-GGA calculation of a geometry-optimized V2PtW structure, from Alexandria via LeMat-Bulk.

Unit cell a=3.2964 b=4.2079 c=4.2079 alpha=90.00 beta=90.00 gamma=90.00
Fractional coordinates of all 4 atoms:
1 V 0.0000 0.0000 0.5000
2 V 0.0000 0.5000 0.0000
3 W 0.5000 0.0000 0.0000
4 Pt 0.5000 0.5000 0.5000

Values from the calculation:
Raw total energy in eV/atom: -9.5437
E_form in eV/atom: -0.2359

=====

No. 7
The following is a PBE-GGA calculation of a geometry-optimized V4Pt5W structure, from Alexandria via LeMat-Bulk.

Unit cell a=2.7161 b=2.7161 c=19.7594 alpha=90.00 beta=90.00 gamma=90.00
Fractional coordinates of all 10 atoms:
1 Pt 0.5000 0.5000 0.1060
2 Pt 0.5000 0.5000 0.6970
3 Pt 0.5000 0.5000 0.8940
4 Pt 0.5000 0.5000 0.3030
5 Pt 0.5000 0.5000 0.5000
6 V 0.0000 0.0000 0.7954
7 V 0.0000 0.0000 0.2046
8 V 0.0000 0.0000 0.5986
9 V 0.0000 0.0000 0.4014
10 W 0.0000 0.0000 0.0000

Values from the calculation:
Raw total energy in eV/atom: -8.4520
E_form in eV/atom: -0.4889

=====

No. 8
The following is a PBE-GGA calculation of a geometry-optimized VPtW2 structure, from Alexandria via LeMat-Bulk.

Unit cell a=4.4406 b=4.4406 c=4.4406 alpha=60.00 beta=60.00 gamma=60.00
Fractional coordinates of all 4 atoms:
1 W 0.7500 0.7500 0.7500
2 W 0.2500 0.2500 0.2500
3 Pt 0.5000 0.5000 0.5000
4 V 0.0000 0.0000 0.0000

Values from the calculation:
ΔE to the lowest computed polymorph in meV per atom: 264
Raw total energy in eV/atom: -10.0825
E_form in eV/atom: 0.1839

=====

No. 9
The following is a PBE-GGA calculation of a geometry-optimized V2Pt2W structure, from Alexandria via LeMat-Bulk.

Unit cell a=7.4977 b=7.4977 c=2.6968 alpha=90.00 beta=90.00 gamma=90.00
Fractional coordinates of all 10 atoms:
1 V 0.8298 0.3298 0.5000
2 V 0.6702 0.8298 0.5000
3 V 0.3298 0.1702 0.5000
4 V 0.1702 0.6702 0.5000
5 Pt 0.3719 0.8719 0.0000
6 Pt 0.1281 0.3719 0.0000
7 Pt 0.6281 0.1281 0.0000
8 Pt 0.8719 0.6281 0.0000
9 W 0.0000 0.0000 0.0000
10 W 0.5000 0.5000 0.0000

Values from the calculation:
Raw total energy in eV/atom: -8.8457
E_form in eV/atom: -0.1913

=====

No. 10
The following is a PBE-GGA calculation of a geometry-optimized VPt2W structure, from Alexandria via LeMat-Bulk.

Unit cell a=7.0288 b=7.0288 c=5.6399 alpha=51.46 beta=51.46 gamma=90.00
Fractional coordinates of all 8 atoms:
1 Pt 0.1357 0.6250 0.2500
2 Pt 0.3750 0.3857 0.7500
3 Pt 0.6143 0.1250 0.2500
4 Pt 0.8750 0.8643 0.7500
5 V 0.2500 0.7500 0.5000
6 V 0.5000 0.5000 0.0000
7 W 0.0000 0.0000 0.0000
8 W 0.7500 0.2500 0.5000

Values from the calculation:
ΔE to the lowest computed polymorph in meV per atom: 617
Raw total energy in eV/atom: -8.2958
E_form in eV/atom: 0.2425

=====

No. 11
The following is a PBE-GGA calculation of a geometry-optimized VPt14W structure, from Alexandria via LeMat-Bulk.

Unit cell a=5.6104 b=5.6104 c=7.8606 alpha=90.00 beta=90.00 gamma=90.00
Last column: magnetic moment on the atom in μB.
Fractional coordinates of all 16 atoms:
1 Pt 0.3750 0.3750 0.0000  0.00
2 Pt 0.6244 0.1256 0.7401  -0.02
3 Pt 0.8750 0.8750 0.0000  -0.05
4 Pt 0.6244 0.1256 0.2599  -0.02
5 Pt 0.3750 0.8750 0.0000  -0.02
6 Pt 0.3750 0.8750 0.5000  -0.02
7 Pt 0.6244 0.6244 0.7401  -0.02
8 Pt 0.1256 0.1256 0.7401  -0.02
9 Pt 0.1256 0.6244 0.2599  -0.02
10 Pt 0.1256 0.1256 0.2599  -0.02
11 Pt 0.1256 0.6244 0.7401  -0.02
12 Pt 0.8750 0.3750 0.0000  -0.02
13 Pt 0.6244 0.6244 0.2599  -0.02
14 Pt 0.8750 0.3750 0.5000  -0.02
15 V 0.3750 0.3750 0.5000  0.57
16 W 0.8750 0.8750 0.5000  0.01

Values from the calculation:
Raw total energy in eV/atom: -6.9051
E_form in eV/atom: -0.2400

=====

No. 12
The following is a PBE-GGA calculation of a geometry-optimized VPtW2 structure, from Alexandria via LeMat-Bulk.

Unit cell a=4.0954 b=3.8688 c=3.8688 alpha=90.00 beta=90.00 gamma=90.00
Fractional coordinates of all 4 atoms:
1 W 0.0000 0.5000 0.0000
2 W 0.0000 0.0000 0.5000
3 V 0.5000 0.5000 0.5000
4 Pt 0.5000 0.0000 0.0000

Values from the calculation:
ΔE to the lowest computed polymorph in meV per atom: 0
Raw total energy in eV/atom: -10.3467
E_form in eV/atom: -0.0803

=====

No. 13
The following is a PBE-GGA calculation of a geometry-optimized VPt4W structure, from Alexandria via LeMat-Bulk.

Unit cell a=2.7703 b=2.7703 c=11.9032 alpha=90.02 beta=90.00 gamma=90.00
Fractional coordinates of all 6 atoms:
1 V 0.0000 0.0000 0.0000
2 Pt 0.0000 0.0003 0.6633
3 Pt 0.5000 0.4998 0.8480
4 Pt 0.5000 0.5002 0.1520
5 Pt 0.0000 0.9997 0.3367
6 W 0.5000 0.5000 0.5000

Values from the calculation:
ΔE to the lowest computed polymorph in meV per atom: 0
Raw total energy in eV/atom: -8.1205
E_form in eV/atom: -0.4146

=====

No. 14
The following is a PBE-GGA calculation of a geometry-optimized V2Pt5W structure, from Alexandria via LeMat-Bulk.

Unit cell a=3.8650 b=5.5614 c=11.1757 alpha=90.00 beta=90.00 gamma=90.00
Fractional coordinates of all 16 atoms:
1 V 0.5000 0.2621 0.8782
2 V 0.5000 0.7379 0.1218
3 V 0.5000 0.7621 0.6218
4 V 0.5000 0.2379 0.3782
5 W 0.0000 0.0000 0.5000
6 W 0.0000 0.5000 0.0000
7 Pt 0.0000 0.0086 0.7461
8 Pt 0.0000 0.9914 0.2539
9 Pt 0.0000 0.5086 0.7539
10 Pt 0.0000 0.5000 0.5000
11 Pt 0.5000 0.2498 0.1208
12 Pt 0.5000 0.7502 0.8792
13 Pt 0.0000 0.4914 0.2461
14 Pt 0.5000 0.2502 0.6208
15 Pt 0.0000 0.0000 0.0000
16 Pt 0.5000 0.7498 0.3792

Values from the calculation:
Raw total energy in eV/atom: -8.0951
E_form in eV/atom: -0.4208

=====

No. 15
The following is a PBE-GGA calculation of a geometry-optimized VPtW2 structure, from Alexandria via LeMat-Bulk.

Unit cell a=3.7449 b=3.7449 c=9.9471 alpha=79.15 beta=79.15 gamma=90.00
Last column: magnetic moment on the atom in μB.
Fractional coordinates of all 8 atoms:
1 Pt 0.7500 0.2500 0.5000  0.05
2 Pt 0.0000 0.0000 0.0000  0.05
3 W 0.3750 0.3879 0.7500  -0.04
4 W 0.1379 0.6250 0.2500  -0.04
5 W 0.6121 0.1250 0.2500  -0.04
6 W 0.8750 0.8621 0.7500  -0.04
7 V 0.5000 0.5000 0.0000  0.97
8 V 0.2500 0.7500 0.5000  0.97

Values from the calculation:
ΔE to the lowest computed polymorph in meV per atom: 641
Raw total energy in eV/atom: -9.7053
E_form in eV/atom: 0.5611

=====

No. 16
The following is a PBE-GGA calculation of a geometry-optimized VPt4W structure, from Alexandria via LeMat-Bulk.

Unit cell a=5.4872 b=5.4850 c=7.0562 alpha=90.00 beta=90.00 gamma=83.75
Fractional coordinates of all 12 atoms:
1 Pt 0.2460 0.0009 0.4882
2 Pt 0.2460 0.0009 0.0118
3 Pt 0.7540 0.4991 0.4882
4 Pt 0.7540 0.4991 0.0118
5 Pt 0.7540 0.9991 0.9882
6 Pt 0.2460 0.5009 0.9882
7 Pt 0.2460 0.5009 0.5118
8 Pt 0.7540 0.9991 0.5118
9 V 0.0000 0.2500 0.7500
10 V 0.0000 0.7500 0.2500
11 W 0.5000 0.7500 0.7500
12 W 0.5000 0.2500 0.2500

Values from the calculation:
ΔE to the lowest computed polymorph in meV per atom: 322
Raw total energy in eV/atom: -7.7985
E_form in eV/atom: -0.0927

=====

No. 17
The following is a PBE-GGA calculation of a geometry-optimized V2PtW structure, from Alexandria via LeMat-Bulk.

Unit cell a=6.9727 b=6.9727 c=5.5832 alpha=51.36 beta=51.36 gamma=90.00
Fractional coordinates of all 8 atoms:
1 Pt 0.7500 0.2500 0.5000
2 Pt 0.0000 0.0000 0.0000
3 W 0.2500 0.7500 0.5000
4 W 0.5000 0.5000 0.0000
5 V 0.6286 0.1250 0.2500
6 V 0.1214 0.6250 0.2500
7 V 0.8750 0.8786 0.7500
8 V 0.3750 0.3714 0.7500

Values from the calculation:
Raw total energy in eV/atom: -8.8889
E_form in eV/atom: 0.4189

=====

No. 18
The following is a PBE-GGA calculation of a geometry-optimized V3PtW structure, from Alexandria via LeMat-Bulk.

Unit cell a=4.5235 b=4.5235 c=4.5235 alpha=90.00 beta=90.00 gamma=90.00
Fractional coordinates of all 5 atoms:
1 Pt 0.5000 0.5000 0.5000
2 V 0.5000 0.0000 0.0000
3 V 0.0000 0.5000 0.0000
4 V 0.0000 0.0000 0.5000
5 W 0.0000 0.0000 0.0000

Values from the calculation:
Raw total energy in eV/atom: -7.9092
E_form in eV/atom: 1.3608

=====

No. 19
The following is a PBE-GGA calculation of a geometry-optimized VPt2W structure, from Alexandria via LeMat-Bulk.

Unit cell a=4.4685 b=4.4685 c=4.4685 alpha=60.00 beta=60.00 gamma=60.00
Last column: magnetic moment on the atom in μB.
Fractional coordinates of all 4 atoms:
1 W 0.5000 0.5000 0.5000  0.18
2 Pt 0.7500 0.7500 0.7500  0.12
3 Pt 0.2500 0.2500 0.2500  0.12
4 V 0.0000 0.0000 0.0000  1.71

Values from the calculation:
ΔE to the lowest computed polymorph in meV per atom: 442
Raw total energy in eV/atom: -8.4705
E_form in eV/atom: 0.0678

=====

No. 20
The following is a PBE-GGA calculation of a geometry-optimized VPt2W structure, from Alexandria via LeMat-Bulk.

Unit cell a=2.7261 b=5.4295 c=4.8775 alpha=123.82 beta=90.00 gamma=90.00
Last column: magnetic moment on the atom in μB.
Fractional coordinates of all 4 atoms:
1 Pt 0.0000 0.5000 0.0000  0.00
2 Pt 0.0000 0.0000 0.0000  0.00
3 W 0.5000 0.0000 0.5000  -0.01
4 V 0.5000 0.5000 0.5000  0.10

Values from the calculation:
ΔE to the lowest computed polymorph in meV per atom: 0
Raw total energy in eV/atom: -8.9126
E_form in eV/atom: -0.3743